Record 1
Here is a geometry-optimized BeAl2Tl structure from the Alexandria database. Energies are from GGA-PBE.

The space group is Pm (No. 6) and the conventional cell measures 2.8717, 3.6625 and 7.3244 Å, with angles of 90.00, 99.05 and 90.00 degrees. The asymmetric unit holds Be at (0.0000, 0.0000, 0.0000), Al at (0.4511, 0.5000, 0.8672), Al at (0.8669, 0.0000, 0.6444) and Tl at (0.9225, 0.5000, 0.2976).

For the total magnetization, the calculation gives 0.00 μB per formula unit. As for the energy above the most stable polymorph in this dataset: 0.026 eV/atom. The value obtained for the formation enthalpy at 0 K is 0.3582 eV/atom. For the volume, the calculation gives 76.1 Å³ per cell. As for the raw total energy: -3.04 eV per atom.



Record 2
Here is a geometry-optimized NbInPt6 structure from the Alexandria database. Energies are from GGA-PBE.

The space group is P4/mmm (No. 123) and the conventional cell measures 4.0263, 4.0263 and 8.0529 Å, with angles of 90.00, 90.00 and 90.00 degrees. The asymmetric unit holds Nb at (0.0000, 0.0000, 0.0000), In at (0.0000, 0.0000, 0.5000), Pt at (0.0000, 0.5000, 0.2389), Pt at (0.5000, 0.5000, 0.0000) and Pt at (0.5000, 0.5000, 0.5000).

For the total magnetization, the calculation gives 0.00 μB per formula unit. The value obtained for the formation enthalpy at 0 K is -0.5671 eV/atom. For the volume, the calculation gives 130.5 Å³ per cell. As for the raw total energy: -6.70 eV per atom.



Record 3
Here is a geometry-optimized Tb7CuI12 structure from the Alexandria database. Energies are from GGA-PBE.

The space group is R-3 (No. 148, hexagonal axes) and the conventional cell measures 15.7078, 15.7078 and 10.5401 Å, with angles of 90.00, 90.00 and 120.00 degrees. The asymmetric unit holds Tb at (0.0000, 0.0000, 0.0000), Tb at (0.0441, 0.8861, 0.3509), Cu at (0.0000, 0.0000, 0.5000), I at (0.0210, 0.4353, 0.1613) and I at (0.0520, 0.8674, 0.8406).

For the total magnetization, the calculation gives 0.00 μB per formula unit. For the volume, the calculation gives 2252.2 Å³ per cell. The value obtained for the uncorrected formation energy is -1155 meV/atom. As for the raw total energy: -3.91 eV per atom.



Record 4
Here is a geometry-optimized Ho2CN structure from the Alexandria database. Energies are from GGA-PBE.

The space group is R-3m (No. 166, hexagonal axes) and the conventional cell measures 3.4788, 3.4788 and 17.5550 Å, with angles of 90.00, 90.00 and 120.00 degrees. The asymmetric unit holds Ho at (0.0000, 0.0000, 0.2467), C at (0.0000, 0.0000, 0.0000) and N at (0.0000, 0.0000, 0.5000).

For the total magnetization, the calculation gives 0.00 μB per formula unit. For the volume, the calculation gives 184.0 Å³ per cell. The value obtained for the uncorrected formation energy is -834 meV/atom. As for the raw total energy: -7.51 eV per atom.